No. 1
# CeZr2Pd

CeZr2Pd after structural relaxation (GGA-PBE, Alexandria).

Lattice parameters (Å, degrees): 3.0696 3.0696 31.9754 90.00 90.00 120.00
Space group R-3m (No. 166, hexagonal axes)
One atom of each set of equivalent atoms:
1 Ce 0.0000 0.0000 0.0000 [3 per cell]
2 Zr 0.0000 0.0000 0.0952 [6 per cell]
3 Pd 0.0000 0.0000 0.5000 [3 per cell]

Summary:
DOS at the Fermi energy = 15.52 states/eV per cell
total DFT energy (no corrections) = -7.076 eV/atom
size of the total moment = 0.00 μB per formula unit



No. 2
# ZrHg2Au

ZrHg2Au after structural relaxation (GGA-PBE, Alexandria).

Lattice parameters (Å, degrees): 9.669 3.245 5.527 90.00 101.89 90.00
Space group C2/m (No. 12)
One atom of each set of equivalent atoms:
1 Zr 0.000 0.000 0.000 [2 per cell]
2 Hg 0.248 0.000 0.744 [4 per cell]
3 Au 0.000 0.500 0.500 [2 per cell]

Summary:
DOS at the Fermi energy = 5.51 states/eV per cell
total DFT energy (no corrections) = -3.189 eV/atom
size of the total moment = 0.00 μB per formula unit



No. 3
# SrLa2Tl

SrLa2Tl after structural relaxation (GGA-PBE, Alexandria).

Lattice parameters (Å, degrees): 5.183 5.183 5.187 90.00 90.00 90.00
Space group P4/mmm (No. 123)
One atom of each set of equivalent atoms:
1 Sr 0.000 0.000 0.000 [1 per cell]
2 La 0.000 0.500 0.500 [2 per cell]
3 Tl 0.500 0.500 0.000 [1 per cell]

Summary:
DOS at the Fermi energy = 4.85 states/eV per cell
total DFT energy (no corrections) = -3.603 eV/atom
size of the total moment = 0.00 μB per formula unit



No. 4
# BeCu5

BeCu5 after structural relaxation (GGA-PBE, Alexandria).

Lattice parameters (Å, degrees): 2.582 2.582 10.108 90.00 90.00 90.00
Space group P4/mmm (No. 123)
One atom of each set of equivalent atoms:
1 Be 0.000 0.000 0.000 [1 per cell]
2 Cu 0.000 0.000 0.322 [2 per cell]
3 Cu 0.500 0.500 0.143 [2 per cell]
4 Cu 0.500 0.500 0.500 [1 per cell]

Summary:
DOS at the Fermi energy = 2.58 states/eV per cell
total DFT energy (no corrections) = -4.065 eV/atom
size of the total moment = 0.00 μB per formula unit



No. 5
# AcSmAlCd

AcSmAlCd after structural relaxation (GGA-PBE, Alexandria).

Lattice parameters (Å, degrees): 7.802 7.802 7.802 90.00 90.00 90.00
Space group F-43m (No. 216)
One atom of each set of equivalent atoms:
1 Ac 0.000 0.000 0.000 [4 per cell]
2 Sm 0.000 0.000 0.500 [4 per cell]
3 Al 0.250 0.250 0.750 [4 per cell]
4 Cd 0.250 0.250 0.250 [4 per cell]

Summary:
DOS at the Fermi energy = 20.48 states/eV per cell
total DFT energy (no corrections) = -3.631 eV/atom
size of the total moment = 0.00 μB per formula unit



No. 6
# Hf6POs

Hf6POs after structural relaxation (GGA-PBE, Alexandria).

Lattice parameters (Å, degrees): 6.368 9.321 6.160 90.00 103.18 90.00
Space group C2/m (No. 12)
One atom of each set of equivalent atoms:
1 Hf 0.157 0.176 0.297 [8 per cell]
2 Hf 0.207 0.500 0.204 [4 per cell]
3 P 0.000 0.000 0.000 [2 per cell]
4 Os 0.000 0.500 0.500 [2 per cell]

Summary:
DOS at the Fermi energy = 13.34 states/eV per cell
total DFT energy (no corrections) = -9.678 eV/atom
size of the total moment = 0.00 μB per formula unit



No. 7
# Pr3Ga2Ge

Pr3Ga2Ge after structural relaxation (GGA-PBE, Alexandria).

Lattice parameters (Å, degrees): 12.413 4.209 12.487 90.00 90.00 90.00
Space group Pnma (No. 62)
One atom of each set of equivalent atoms:
1 Pr 0.062 0.250 0.122 [4 per cell]
2 Pr 0.118 0.750 0.554 [4 per cell]
3 Pr 0.207 0.250 0.791 [4 per cell]
4 Ga 0.020 0.750 0.309 [4 per cell]
5 Ga 0.189 0.750 0.990 [4 per cell]
6 Ge 0.132 0.250 0.370 [4 per cell]

Summary:
DOS at the Fermi energy = 23.29 states/eV per cell
total DFT energy (no corrections) = -4.770 eV/atom
size of the total moment = 0.00 μB per formula unit



No. 8
# PmSc2Te4

PmSc2Te4 after structural relaxation (GGA-PBE, Alexandria).

Lattice parameters (Å, degrees): 16.246 4.224 7.287 90.00 116.33 90.00
Space group C2/m (No. 12)
One atom of each set of equivalent atoms:
1 Pm 0.000 0.000 0.000 [2 per cell]
2 Sc 0.248 0.500 0.731 [4 per cell]
3 Te 0.130 0.000 0.471 [4 per cell]
4 Te 0.138 0.500 0.969 [4 per cell]

Summary:
DOS at the Fermi energy = 7.03 states/eV per cell
total DFT energy (no corrections) = -5.573 eV/atom
size of the total moment = 0.00 μB per formula unit



No. 9
# KBaTlO3

KBaTlO3 after structural relaxation (GGA-PBE, Alexandria).

Lattice parameters (Å, degrees): 6.278 12.492 6.080 90.00 105.31 90.00
Space group C2/c (No. 15)
One atom of each set of equivalent atoms:
1 K 0.000 0.065 0.250 [4 per cell]
2 Ba 0.000 0.257 0.750 [4 per cell]
3 Tl 0.000 0.441 0.250 [4 per cell]
4 O 0.000 0.267 0.250 [4 per cell]
5 O 0.205 0.430 0.984 [8 per cell]

Summary:
total DFT energy (no corrections) = -4.845 eV/atom
size of the total moment = 0.00 μB per formula unit



No. 10
# CaCo3Si

CaCo3Si after structural relaxation (GGA-PBE, Alexandria).

Lattice parameters (Å, degrees): 4.427 4.427 4.427 90.00 90.00 90.00
Space group Pm-3m (No. 221)
One atom of each set of equivalent atoms:
1 Ca 0.000 0.000 0.000 [1 per cell]
2 Co 0.000 0.000 0.500 [3 per cell]
3 Si 0.500 0.500 0.500 [1 per cell]

Summary:
DOS at the Fermi energy = 11.03 states/eV per cell
total DFT energy (no corrections) = -3.772 eV/atom
size of the total moment = 3.18 μB per formula unit



No. 11
# Y2Sb2Pd

Y2Sb2Pd after structural relaxation (GGA-PBE, Alexandria).

Lattice parameters (Å, degrees): 7.696 7.696 4.542 90.00 90.00 90.00
Space group P4/mbm (No. 127)
One atom of each set of equivalent atoms:
1 Y 0.175 0.325 0.000 [4 per cell]
2 Sb 0.134 0.634 0.500 [4 per cell]
3 Pd 0.000 0.000 0.000 [2 per cell]

Summary:
DOS at the Fermi energy = 5.71 states/eV per cell
total DFT energy (no corrections) = -5.857 eV/atom
size of the total moment = 0.00 μB per formula unit



No. 12
# TeRu

TeRu after structural relaxation (GGA-PBE, Alexandria).

Lattice parameters (Å, degrees): 5.333 5.333 5.333 90.00 90.00 90.00
Space group P2_13 (No. 198)
One atom of each set of equivalent atoms:
1 Te 0.058 0.058 0.058 [4 per cell]
2 Ru 0.066 0.566 0.934 [4 per cell]

Summary:
DOS at the Fermi energy = 5.09 states/eV per cell
total DFT energy (no corrections) = -6.050 eV/atom
size of the total moment = 0.00 μB per formula unit